Entry 1:
Compound: Sm6Ni2SBr3
Source: the Alexandria database
Functional: PBE
Structure: optimized geometry

Summary:
The space group is C2/m. The value obtained for the density of states at the Fermi level is 10.10 states/eV per cell. For the raw total energy, the calculation gives -5.157 eV per atom.

Cell lengths 7.086, 7.086, 7.723 Å; angles 98.79, 98.79, 119.84 degrees
Fractional coordinates of all 12 atoms:
S 0.000 0.000 0.000
Sm 0.286 0.286 0.805
Sm 0.066 0.416 0.196
Sm 0.416 0.066 0.196
Sm 0.934 0.584 0.804
Sm 0.714 0.714 0.195
Sm 0.584 0.934 0.804
Br 0.500 0.500 0.500
Br 0.840 0.160 0.500
Br 0.160 0.840 0.500
Ni 0.333 0.667 0.000
Ni 0.667 0.333 0.000



Entry 2:
Compound: U2NiS4Br
Source: the Alexandria database
Functional: PBE
Structure: optimized geometry

Summary:
The space group is C2/m. The value obtained for the density of states at the Fermi level is 11.07 states/eV per cell. For the raw total energy, the calculation gives -6.837 eV per atom.

Cell lengths 3.825, 5.856, 8.724 Å; angles 75.73, 77.34, 70.94 degrees
Last column: magnetic moment on the atom in μB.
Fractional coordinates of all 8 atoms:
U 0.193 0.394 0.220  2.01
U 0.807 0.606 0.780  2.01
S 0.161 0.945 0.732  -0.10
S 0.612 0.701 0.075  -0.12
S 0.388 0.299 0.925  -0.12
S 0.839 0.055 0.268  -0.10
Br 0.500 0.500 0.500  -0.03
Ni 0.000 0.000 0.000  -0.76



Entry 3:
Compound: NiW2SBr
Source: the Alexandria database
Functional: PBE
Structure: optimized geometry

Summary:
The space group is P4/mmm. The value obtained for the density of states at the Fermi level is 3.58 states/eV per cell. For the raw total energy, the calculation gives -6.363 eV per atom.

Cell lengths 4.583, 4.059, 4.583 Å; angles 90.00, 90.00, 90.00 degrees
Fractional coordinates of all 5 atoms:
W 0.000 0.000 0.500
W 0.500 0.000 0.000
S 0.000 0.000 0.000
Ni 0.000 0.500 0.000
Br 0.500 0.500 0.500



Entry 4:
Compound: NiSbBr2
Source: the Alexandria database
Functional: PBE
Structure: optimized geometry

Summary:
The space group is C2/m. The value obtained for the density of states at the Fermi level is 2.51 states/eV per cell. For the raw total energy, the calculation gives -3.333 eV per atom.

Cell lengths 7.284, 7.284, 4.966 Å; angles 76.93, 76.93, 27.10 degrees
Last column: magnetic moment on the atom in μB.
Fractional coordinates of all 4 atoms:
Br 0.385 0.385 0.585  0.06
Br 0.115 0.115 0.915  0.06
Ni 0.750 0.750 0.750  0.65
Sb 0.250 0.250 0.250  -0.02